# Pr3Cu2Ge3 PBE optimized geometry
# Energy of formation = -643 meV/atom
# E = -5.191 eV per atom
data_Pr3Cu2Ge3
_chemical_formula_sum 'Pr12 Cu8 Ge12'
_cell_length_a 4.273
_cell_length_b 11.033
_cell_length_c 15.421
_cell_angle_alpha 90.00
_cell_angle_beta 90.00
_cell_angle_gamma 90.00
_space_group_name_H-M_alt 'C m c m'
_space_group_IT_number 63
_space_group_name_Hall '-C 2c 2'
loop_
_atom_site_label
_atom_site_fract_x
_atom_site_fract_y
_atom_site_fract_z
Pr1 0.000 0.076 0.250
Pr2 0.000 0.362 0.095
Cu1 0.000 0.347 0.618
Ge1 0.000 0.085 0.055
Ge2 0.000 0.207 0.750